The following is a GGA-PBE calculation of a geometry-optimized MgTi4Ir5 structure, from Alexandria via LeMat-Bulk.

Cell and atoms, written as POSCAR:
```
MgTi4Ir5
1.0
2.9654 0.0000 0.0000
0.0000 2.9654 0.0000
0.0000 0.0000 17.3294
Ti Ir Mg
4 5 1
direct
0.0000 0.0000 0.6014
0.0000 0.0000 0.8036
0.0000 0.0000 0.1964
0.0000 0.0000 0.3986
0.5000 0.5000 0.7024
0.5000 0.5000 0.8922
0.5000 0.5000 0.1078
0.5000 0.5000 0.2976
0.5000 0.5000 0.5000
0.0000 0.0000 0.0000
```

Computed properties:
energy of formation from the pure elements = -783 meV/atom